(1)
# PBE-GGA TaV2B2, relaxed
data_TaV2B2
_chemical_formula_sum 'Ta4 V8 B8'
_symmetry_space_group_name_H-M 'C m c 21'
_symmetry_Int_Tables_number 36
_cell_length_a 3.1063
_cell_length_b 10.4974
_cell_length_c 6.9152
_cell_angle_alpha 90.00
_cell_angle_beta 90.00
_cell_angle_gamma 90.00
loop_
_symmetry_equiv_pos_as_xyz
'x,y,z'
'-x,-y,z+1/2'
'-x,y,z'
'x,-y,z+1/2'
'x+1/2,y+1/2,z'
'-x+1/2,-y+1/2,z+1/2'
'-x+1/2,y+1/2,z'
'x+1/2,-y+1/2,z+1/2'
loop_
_atom_site_label
_atom_site_fract_x
_atom_site_fract_y
_atom_site_fract_z
Ta1 0.0000 0.0738 0.0000
V1 0.0000 0.2035 0.6180
V2 0.0000 0.3698 0.8649
B1 0.0000 0.2886 0.3355
B2 0.0000 0.4371 0.2109
# **N(E_F)**: 0.856 states/eV/atom
# **Energy above the most stable polymorph in this dataset**: 0.208 eV per atom
# **Energy**: -0.334 hartree per atom
# **Spin magnetization**: 0.00 μB/f.u.
# **V**: 225.5 Å³ per cell
# **Energy of formation from the pure elements**: -0.388 eV/atom

=====

(2)
# PBE-GGA Ta3VB4, relaxed
data_Ta3VB4
_chemical_formula_sum 'Ta6 V2 B8'
_symmetry_space_group_name_H-M 'I m m m'
_symmetry_Int_Tables_number 71
_symmetry_space_group_name_Hall '-I 2 2'
_cell_length_a 3.2636
_cell_length_b 4.7017
_cell_length_c 12.2135
_cell_angle_alpha 90.00
_cell_angle_beta 90.00
_cell_angle_gamma 90.00
loop_
_atom_site_label
_atom_site_fract_x
_atom_site_fract_y
_atom_site_fract_z
Ta1 0.0000 0.0000 0.0000
Ta2 0.0000 0.5000 0.1943
V1 0.0000 0.0000 0.5000
B1 0.0000 0.3168 0.3706
# **N(E_F)**: 0.468 states/eV/atom
# **Energy**: -0.347 hartree per atom
# **Spin magnetization**: 0.00 μB/f.u.
# **V**: 187.4 Å³ per cell
# **Energy of formation from the pure elements**: -0.511 eV/atom

=====

(3)
# PBE-GGA Ta3VB, relaxed
data_Ta3VB
_chemical_formula_sum 'Ta3 V1 B1'
_symmetry_space_group_name_H-M 'P m -3 m'
_symmetry_Int_Tables_number 221
_symmetry_space_group_name_Hall '-P 4 2 3'
_cell_length_a 4.3419
_cell_length_b 4.3419
_cell_length_c 4.3419
_cell_angle_alpha 90.00
_cell_angle_beta 90.00
_cell_angle_gamma 90.00
loop_
_atom_site_label
_atom_site_fract_x
_atom_site_fract_y
_atom_site_fract_z
Ta1 0.0000 0.0000 0.5000
V1 0.5000 0.5000 0.5000
B1 0.0000 0.0000 0.0000
# **N(E_F)**: 0.729 states/eV/atom
# **Energy above the most stable polymorph in this dataset**: 0.000 eV per atom
# **Energy**: -0.373 hartree per atom
# **Spin magnetization**: 0.00 μB/f.u.
# **V**: 81.9 Å³ per cell
# **Energy of formation from the pure elements**: 0.133 eV/atom